# 1
First-principles (PBE-GGA) data for crystalline Cd2TeC2 at its relaxed geometry, as listed in Alexandria.

Cell and atoms, written as CIF:
```
data_Cd2TeC2
_chemical_formula_sum 'Cd4 Te2 C4'
_space_group_name_H-M_alt 'I 4/m m m'
_space_group_IT_number 139
_space_group_name_Hall '-I 4 2'
_cell_length_a 3.3972
_cell_length_b 3.3972
_cell_length_c 15.8864
_cell_angle_alpha 90.00
_cell_angle_beta 90.00
_cell_angle_gamma 90.00
loop_
_atom_site_label
_atom_site_type_symbol
_atom_site_fract_x
_atom_site_fract_y
_atom_site_fract_z
Cd1 Cd 0.0000 0.0000 0.1441
Te1 Te 0.0000 0.0000 0.5000
C1 C 0.0000 0.5000 0.2500
```

## Properties
calculated total energy	-14.7	eV per formula unit
formation energy (no corrections)	1.736	eV/atom



# 2
First-principles (PBE-GGA) data for crystalline LaAl2Ag at its relaxed geometry, as listed in Alexandria.

Cell and atoms, written as CIF:
```
data_LaAl2Ag
_chemical_formula_sum 'La3 Al6 Ag3'
_space_group_name_H-M_alt 'R 3 m'
_space_group_IT_number 160
_space_group_name_Hall 'R 3 -2"'
_cell_length_a 4.4898
_cell_length_b 4.4898
_cell_length_c 15.9537
_cell_angle_alpha 90.00
_cell_angle_beta 90.00
_cell_angle_gamma 120.00
loop_
_atom_site_label
_atom_site_type_symbol
_atom_site_fract_x
_atom_site_fract_y
_atom_site_fract_z
La1 La 0.0000 0.0000 0.0000
Al1 Al 0.0000 0.0000 0.5035
Al2 Al 0.0000 0.0000 0.7855
Ag1 Ag 0.0000 0.0000 0.2048
```

## Properties
calculated total energy	-16.5	eV per formula unit
formation energy from the elements	-311	meV/atom



no.,distance to the lowest polymorph of the same formula (eV per atom)
1,0.891
2,0.081